! K2OsPb | Alexandria via LeMat-Bulk | GGA-PBEsol | optimized geometry; values from VASP
&SYSTEM
  ibrav = 0, nat = 4, ntyp = 3
/
ATOMIC_SPECIES
Pb 207.20 Pb.upf
Os 190.23 Os.upf
K 39.10 K.upf
CELL_PARAMETERS angstrom
3.081 0.000 0.000
1.540 2.668 0.000
1.540 0.889 11.830
ATOMIC_POSITIONS crystal
Pb 0.000 0.000 0.000
Os 0.500 0.500 0.500
K 0.758 0.758 0.725
K 0.242 0.242 0.275
! N(E_F) = 0.69 states/eV/atom
! Formation enthalpy at 0 K = 410 kJ/mol of formula units
! Total magnetic moment = 0.140 μB per atom
! Symmetry = R-3m, No. 166